2
Lattice="2.499 0.016 -0.006 2.487 2.540 0.000 -0.018 2.531 3.434" Properties=species:S:1:pos:R:3 comment="SiH, optimized geometry, DFT PBE" dos_ef_per_ev_cell=0.248 energy_ev_per_cell=-8.160 m_tot_mub_per_cell=0.0 rho_g_cm3=2.2 polymorph_energy_ev_per_atom=0.290 pbc="T T T"
H 3.313 3.001 2.333
Si 3.316 2.997 0.619